Record 1
# BeCu2P

A relaxed structure of BeCu2P (PBE-GGA, the Alexandria database).

abc: 3.530 3.530 3.634
angles: 90.00 90.00 90.00
Fractional positions:
Be: 0.000 0.000 0.000
Cu: 0.000 0.500 0.500
Cu: 0.500 0.000 0.500
P: 0.500 0.500 0.000

## Properties
Space-group type: P4/mmm (123)
Excess energy over the best structure of this formula in the dataset, meV per atom: 0.0
Energy of formation from the pure elements, eV per atom: 0.0404


Record 2
# Rb2BiPdI

A relaxed structure of Rb2BiPdI (PBE-GGA, the Alexandria database).

abc: 7.201 7.201 5.045
angles: 90.00 90.00 90.00
Fractional positions:
Rb: 0.000 0.500 0.000
Rb: 0.500 0.000 0.000
Bi: 0.000 0.000 0.000
Pd: 0.000 0.000 0.500
I: 0.500 0.500 0.500

## Properties
Space-group type: P4/mmm (123)
Energy relative to the elements, uncorrected, eV/atom: -0.371


Mass density values, unit g/cm3, following the record order: 6.128; 3.893.